Record 1
{"formula": "Cs4SmPa3O12", "functional": "PBE", "state": "relaxed", "cell": [[-6.845, 1.581, 3.375], [-0.608, -6.564, -4.158], [5.458, -0.899, 5.491]], "species": ["Cs", "Cs", "Cs", "Cs", "Sm", "Pa", "Pa", "Pa", "O", "O", "O", "O", "O", "O", "O", "O", "O", "O", "O", "O"], "fractional_positions": [[0.500, 0.500, 0.500], [0.000, 0.000, 0.500], [0.500, 0.000, 0.000], [0.000, 0.500, 0.000], [0.000, 0.000, 0.000], [0.500, 0.000, 0.500], [0.500, 0.500, 0.000], [0.000, 0.500, 0.500], [0.250, 0.500, 0.750], [0.734, 0.000, 0.734], [0.266, 0.000, 0.266], [0.750, 0.500, 0.250], [0.734, 0.734, 0.000], [0.266, 0.266, 0.000], [0.750, 0.250, 0.500], [0.250, 0.750, 0.500], [0.500, 0.250, 0.750], [0.000, 0.734, 0.734], [0.500, 0.750, 0.250], [0.000, 0.266, 0.266]], "energy_ev_per_atom": -7.58, "sg": "Im-3m, No. 229", "raw_formation_energy_kj_per_mol_atoms": -268, "magnetic_moment_mub_per_fu": 1.45}

Record 2
{"formula": "PtAuC3", "functional": "PBE", "state": "relaxed", "cell": [[4.079, 0.000, 0.000], [0.000, 4.079, 0.000], [0.000, 0.000, 4.079]], "species": ["C", "C", "C", "Au", "Pt"], "fractional_positions": [[0.000, 0.500, 0.000], [0.000, 0.000, 0.500], [0.500, 0.000, 0.000], [0.000, 0.000, 0.000], [0.500, 0.500, 0.500]], "energy_ev_per_atom": -4.22, "sg": "Pm-3m, No. 221", "relative_energy_mev_per_atom": 606, "magnetic_moment_mub_per_fu": 0.00, "ef_ev_per_atom": 3.18}

Record 3
{"formula": "YAs2RuN", "functional": "PBE", "state": "relaxed", "cell": [[-0.142, 3.365, 3.426], [-0.830, -2.633, 2.552], [4.684, -0.660, 0.842]], "species": ["Y", "Ru", "As", "As", "N"], "fractional_positions": [[0.500, 0.500, 0.500], [0.000, 0.500, 0.000], [0.000, 0.000, 0.500], [0.500, 0.000, 0.000], [0.000, 0.000, 0.000]], "energy_ev_per_atom": -6.77, "sg": "P4/mmm, No. 123", "raw_formation_energy_kj_per_mol_atoms": -9, "magnetic_moment_mub_per_fu": 0.00}